First-principles (PBE-GGA) data for a geometry-optimized NbV2Se structure, as listed in Alexandria via LeMat-Bulk.

abc: 7.3216 7.3216 5.7566
angles: 50.51 50.51 90.00
Element x y z (fractional)
1 V 0.1799 0.6250 0.2500
2 Nb 0.7500 0.2500 0.5000
3 V 0.8750 0.8201 0.7500
4 Nb 0.0000 0.0000 0.0000
5 Se 0.5000 0.5000 0.0000
6 V 0.5701 0.1250 0.2500
7 Se 0.2500 0.7500 0.5000
8 V 0.3750 0.4299 0.7500

=====

First-principles (PBE-GGA) data for a geometry-optimized Nb3VSe4 structure, as listed in Alexandria via LeMat-Bulk.

abc: 6.8157 4.9210 10.3713
angles: 90.00 90.00 90.00
Element x y z (fractional)
1 Nb 0.9199 0.6887 0.8590
2 Nb 0.4199 0.3113 0.6410
3 Nb 0.9199 0.6887 0.1410
4 Se 0.6843 0.3648 0.0000
5 Nb 0.4199 0.3113 0.3590
6 Se 0.7333 0.2812 0.5000
7 Se 0.5724 0.8144 0.7399
8 V 0.0024 0.1222 0.0000
9 Se 0.2333 0.7188 0.0000
10 Se 0.5724 0.8144 0.2601
11 V 0.5024 0.8778 0.5000
12 Nb 0.6105 0.8694 0.0000
13 Nb 0.1105 0.1306 0.5000
14 Se 0.0724 0.1856 0.7601
15 Se 0.0724 0.1856 0.2399
16 Se 0.1843 0.6352 0.5000

=====

First-principles (PBE-GGA) data for a geometry-optimized NbVSe4 structure, as listed in Alexandria via LeMat-Bulk.

abc: 3.4392 5.9635 7.2775
angles: 105.91 90.00 90.00
Element x y z (fractional)
1 Se 0.5000 0.2668 0.2720
2 Se 0.5000 0.7332 0.7280
3 V 0.0000 0.5000 0.5000
4 Se 0.0000 0.2553 0.7361
5 Nb 0.5000 0.0000 0.5000
6 Se 0.0000 0.7447 0.2639

=====

Total magnetization, respectively: 0.00 0.00 1.34 μB per cell.
Uncorrected formation energy, respectively: 0.335 -0.443 -0.758 eV/atom.